# PBE-GGA Cs2PI6F, optimized geometry
# Uncorrected formation energy: -721 meV per atom
# Raw total energy: -25.50 eV/f.u.
# Total moment: 0.000 μB/atom
# V: 38.22 A^3/atom
data_Cs2PI6F
_space_group_name_H-M_alt 'I 4/m m m'
_space_group_IT_number 139
_space_group_name_Hall '-I 4 2'
_cell_length_a 7.722
_cell_length_b 7.722
_cell_length_c 12.820
_cell_angle_alpha 90.00
_cell_angle_beta 90.00
_cell_angle_gamma 90.00
loop_
_atom_site_label
_atom_site_type_symbol
_atom_site_fract_x
_atom_site_fract_y
_atom_site_fract_z
_atom_site_occupancy
Cs1 Cs 0.000 0.500 0.250 1
P1 P 0.000 0.000 0.000 1
I1 I 0.000 0.000 0.217 1
I2 I 0.248 0.248 0.000 1
F1 F 0.000 0.000 0.500 1